# 1
The following is a DFT calculation (PBEsol) of a geometry-optimized Ba3Sr structure.

Values from the calculation:
- ΔE to the lowest computed polymorph (meV/atom) = 0.0
- uncorrected energy (eV per atom) = -2.07
- theoretical density (g cm⁻³) = 3.68
- V (Å³/cell) = 225.2

abc: 4.185 6.837 7.989
angles: 90.00 99.86 90.00
Fractional positions:
Ba1 0.000 0.000 0.000
Ba2 0.249 0.500 0.749
Ba3 0.751 0.500 0.251
Sr1 0.500 0.000 0.500


# 2
The following is a DFT calculation (PBEsol) of a geometry-optimized Ba2Sr structure.

Values from the calculation:
- ΔE to the lowest computed polymorph (meV/atom) = 30.0
- uncorrected energy (eV per atom) = -2.02
- theoretical density (g cm⁻³) = 3.55
- V (Å³/cell) = 508.1

abc: 11.844 11.844 4.183
angles: 90.00 90.00 120.00
Fractional positions:
Ba1 0.000 0.311 0.000
Ba2 0.000 0.646 0.500
Ba3 0.311 0.000 0.000
Ba4 0.354 0.354 0.500
Ba5 0.646 0.000 0.500
Ba6 0.689 0.689 0.000
Sr1 0.000 0.000 0.500
Sr2 0.333 0.667 0.000
Sr3 0.667 0.333 0.000


# 3
The following is a DFT calculation (PBEsol) of a geometry-optimized Ba2Sr structure.

Values from the calculation:
- ΔE to the lowest computed polymorph (meV/atom) = 14.3
- uncorrected energy (eV per atom) = -2.03
- theoretical density (g cm⁻³) = 3.58
- V (Å³/cell) = 671.4

abc: 15.978 4.253 10.240
angles: 90.00 105.20 90.00
Fractional positions:
Ba1 0.030 0.000 0.310
Ba2 0.139 0.500 0.025
Ba3 0.361 0.000 0.975
Ba4 0.470 0.500 0.690
Ba5 0.530 0.500 0.310
Ba6 0.639 0.000 0.025
Ba7 0.861 0.500 0.975
Ba8 0.970 0.000 0.690
Sr1 0.197 0.500 0.641
Sr2 0.303 0.000 0.359
Sr3 0.697 0.000 0.641
Sr4 0.803 0.500 0.359


# 4
The following is a DFT calculation (PBEsol) of a geometry-optimized Ba3Sr structure.

Values from the calculation:
- ΔE to the lowest computed polymorph (meV/atom) = 17.5
- uncorrected energy (eV per atom) = -2.06
- theoretical density (g cm⁻³) = 3.64
- V (Å³/cell) = 683.5

abc: 4.310 4.310 42.485
angles: 90.00 90.00 120.00
Fractional positions:
Ba1 0.000 0.000 0.000
Ba2 0.000 0.000 0.249
Ba3 0.000 0.000 0.751
Ba4 0.333 0.667 0.418
Ba5 0.333 0.667 0.667
Ba6 0.333 0.667 0.916
Ba7 0.667 0.333 0.084
Ba8 0.667 0.333 0.333
Ba9 0.667 0.333 0.582
Sr1 0.000 0.000 0.500
Sr2 0.333 0.667 0.167
Sr3 0.667 0.333 0.833


# 5
The following is a DFT calculation (PBEsol) of a geometry-optimized Ba5Sr structure.

Values from the calculation:
- ΔE to the lowest computed polymorph (meV/atom) = 0.0
- uncorrected energy (eV per atom) = -2.09
- theoretical density (g cm⁻³) = 3.75
- V (Å³/cell) = 342.9

abc: 7.477 7.477 7.082
angles: 90.00 90.00 120.00
Fractional positions:
Ba1 0.000 0.333 0.000
Ba2 0.333 0.000 0.000
Ba3 0.333 0.667 0.500
Ba4 0.667 0.333 0.500
Ba5 0.667 0.667 0.000
Sr1 0.000 0.000 0.500


# 6
The following is a DFT calculation (PBEsol) of a geometry-optimized Ba3Sr structure.

Values from the calculation:
- ΔE to the lowest computed polymorph (meV/atom) = 23.4
- uncorrected energy (eV per atom) = -2.05
- theoretical density (g cm⁻³) = 3.60
- V (Å³/cell) = 230.2

abc: 6.129 6.129 6.129
angles: 90.00 90.00 90.00
Fractional positions:
Ba1 0.000 0.000 0.500
Ba2 0.000 0.500 0.000
Ba3 0.500 0.000 0.000
Sr1 0.500 0.500 0.500


# 7
The following is a DFT calculation (PBEsol) of a geometry-optimized Ba8Sr structure.

Values from the calculation:
- uncorrected energy (eV per atom) = -2.10
- theoretical density (g cm⁻³) = 3.77
- V (Å³/cell) = 523.0

abc: 9.712 9.712 9.712
angles: 95.79 95.79 142.97
Fractional positions:
Ba1 0.000 0.332 0.332
Ba2 0.000 0.668 0.668
Ba3 0.332 0.000 0.332
Ba4 0.334 0.334 0.669
Ba5 0.334 0.666 0.000
Ba6 0.666 0.334 0.000
Ba7 0.666 0.666 0.331
Ba8 0.668 0.000 0.668
Sr1 0.000 0.000 0.000


# 8
The following is a DFT calculation (PBEsol) of a geometry-optimized BaSr3 structure.

Values from the calculation:
- ΔE to the lowest computed polymorph (meV/atom) = 11.2
- uncorrected energy (eV per atom) = -1.91
- theoretical density (g cm⁻³) = 3.09
- V (Å³/cell) = 430.4

abc: 5.999 5.999 11.958
angles: 90.00 90.00 90.00
Fractional positions:
Ba1 0.000 0.000 0.000
Ba2 0.500 0.500 0.500
Sr1 0.000 0.000 0.500
Sr2 0.000 0.500 0.250
Sr3 0.000 0.500 0.750
Sr4 0.500 0.000 0.250
Sr5 0.500 0.000 0.750
Sr6 0.500 0.500 0.000


# 9
The following is a DFT calculation (PBEsol) of a geometry-optimized Ba2Sr structure.

Values from the calculation:
- ΔE to the lowest computed polymorph (meV/atom) = 314.1
- uncorrected energy (eV per atom) = -1.73
- theoretical density (g cm⁻³) = 2.91
- V (Å³/cell) = 206.8

abc: 6.831 6.831 4.432
angles: 90.00 90.00 90.00
Fractional positions:
Ba1 0.000 0.500 0.000
Ba2 0.500 0.000 0.000
Sr1 0.000 0.000 0.500


# 10
The following is a DFT calculation (PBEsol) of a geometry-optimized Ba5Sr3 structure.

Values from the calculation:
- ΔE to the lowest computed polymorph (meV/atom) = 0.0
- uncorrected energy (eV per atom) = -2.03
- theoretical density (g cm⁻³) = 3.55
- V (Å³/cell) = 888.1

abc: 9.612 13.582 6.803
angles: 90.00 90.00 90.00
Fractional positions:
Ba1 0.000 0.000 0.000
Ba2 0.249 0.500 0.500
Ba3 0.250 0.250 0.000
Ba4 0.250 0.750 0.000
Ba5 0.251 0.000 0.500
Ba6 0.500 0.500 0.000
Ba7 0.749 0.000 0.500
Ba8 0.750 0.250 0.000
Ba9 0.750 0.750 0.000
Ba10 0.751 0.500 0.500
Sr1 0.000 0.249 0.500
Sr2 0.000 0.500 0.000
Sr3 0.000 0.751 0.500
Sr4 0.500 0.000 0.000
Sr5 0.500 0.251 0.500
Sr6 0.500 0.749 0.500


# 11
The following is a DFT calculation (PBEsol) of a geometry-optimized Ba2Sr structure.

Values from the calculation:
- ΔE to the lowest computed polymorph (meV/atom) = 84.2
- uncorrected energy (eV per atom) = -1.96
- theoretical density (g cm⁻³) = 3.51
- V (Å³/cell) = 686.1

abc: 4.119 4.119 40.431
angles: 90.00 90.00 90.00
Fractional positions:
Ba1 0.000 0.250 0.295
Ba2 0.000 0.250 0.455
Ba3 0.000 0.750 0.545
Ba4 0.000 0.750 0.705
Ba5 0.500 0.250 0.045
Ba6 0.500 0.250 0.205
Ba7 0.500 0.750 0.795
Ba8 0.500 0.750 0.955
Sr1 0.000 0.250 0.875
Sr2 0.000 0.750 0.125
Sr3 0.500 0.250 0.625
Sr4 0.500 0.750 0.375


# 12
The following is a DFT calculation (PBEsol) of a geometry-optimized BaSr3 structure.

Values from the calculation:
- ΔE to the lowest computed polymorph (meV/atom) = 12.9
- uncorrected energy (eV per atom) = -1.91
- theoretical density (g cm⁻³) = 3.12
- V (Å³/cell) = 213.3

abc: 4.210 4.210 13.892
angles: 90.00 90.00 120.00
Fractional positions:
Ba1 0.000 0.000 0.000
Sr1 0.000 0.000 0.500
Sr2 0.333 0.667 0.253
Sr3 0.333 0.667 0.747


# 13
The following is a DFT calculation (PBEsol) of a geometry-optimized Ba2Sr structure.

Values from the calculation:
- ΔE to the lowest computed polymorph (meV/atom) = 3.8
- uncorrected energy (eV per atom) = -2.04
- theoretical density (g cm⁻³) = 3.58
- V (Å³/cell) = 335.8

abc: 4.813 4.813 14.493
angles: 90.00 90.00 90.00
Fractional positions:
Ba1 0.000 0.000 0.164
Ba2 0.000 0.000 0.836
Ba3 0.500 0.500 0.336
Ba4 0.500 0.500 0.664
Sr1 0.000 0.000 0.500
Sr2 0.500 0.500 0.000


# 14
The following is a DFT calculation (PBEsol) of a geometry-optimized Ba3Sr structure.

Values from the calculation:
- ΔE to the lowest computed polymorph (meV/atom) = 2.4
- uncorrected energy (eV per atom) = -2.07
- theoretical density (g cm⁻³) = 3.67
- V (Å³/cell) = 451.6

abc: 4.842 6.831 13.652
angles: 90.00 90.00 90.00
Fractional positions:
Ba1 0.000 0.000 0.000
Ba2 0.000 0.500 0.254
Ba3 0.000 0.500 0.746
Ba4 0.500 0.000 0.254
Ba5 0.500 0.000 0.746
Ba6 0.500 0.500 0.000
Sr1 0.000 0.000 0.500
Sr2 0.500 0.500 0.500


# 15
The following is a DFT calculation (PBEsol) of a geometry-optimized Ba4Sr structure.

Values from the calculation:
- uncorrected energy (eV per atom) = -2.07
- theoretical density (g cm⁻³) = 3.68
- V (Å³/cell) = 574.8

abc: 9.736 9.736 6.064
angles: 90.00 90.00 90.00
Fractional positions:
Ba1 0.100 0.300 0.000
Ba2 0.200 0.600 0.500
Ba3 0.300 0.900 0.000
Ba4 0.400 0.200 0.500
Ba5 0.600 0.800 0.500
Ba6 0.700 0.100 0.000
Ba7 0.800 0.400 0.500
Ba8 0.900 0.700 0.000
Sr1 0.000 0.000 0.500
Sr2 0.500 0.500 0.000


# 16
The following is a DFT calculation (PBEsol) of a geometry-optimized BaSr3 structure.

Values from the calculation:
- ΔE to the lowest computed polymorph (meV/atom) = 9.2
- uncorrected energy (eV per atom) = -1.91
- theoretical density (g cm⁻³) = 3.10
- V (Å³/cell) = 428.9

abc: 14.046 4.222 7.342
angles: 90.00 99.90 90.00
Fractional positions:
Ba1 0.000 0.000 0.000
Ba2 0.500 0.500 0.000
Sr1 0.000 0.500 0.500
Sr2 0.249 0.000 0.747
Sr3 0.251 0.500 0.253
Sr4 0.500 0.000 0.500
Sr5 0.749 0.500 0.747
Sr6 0.751 0.000 0.253


# 17
The following is a DFT calculation (PBEsol) of a geometry-optimized Ba3Sr structure.

Values from the calculation:
- ΔE to the lowest computed polymorph (meV/atom) = 12.5
- uncorrected energy (eV per atom) = -2.06
- theoretical density (g cm⁻³) = 3.66
- V (Å³/cell) = 453.5

abc: 7.071 8.590 7.467
angles: 90.00 90.00 90.00
Fractional positions:
Ba1 0.250 0.001 0.166
Ba2 0.250 0.499 0.166
Ba3 0.250 0.750 0.666
Ba4 0.750 0.250 0.334
Ba5 0.750 0.501 0.834
Ba6 0.750 0.999 0.834
Sr1 0.250 0.250 0.667
Sr2 0.750 0.750 0.333


# 18
The following is a DFT calculation (PBEsol) of a geometry-optimized Ba2Sr structure.

Values from the calculation:
- ΔE to the lowest computed polymorph (meV/atom) = 0.0
- uncorrected energy (eV per atom) = -2.05
- theoretical density (g cm⁻³) = 3.61
- V (Å³/cell) = 166.4

abc: 6.801 6.801 4.155
angles: 90.00 90.00 120.00
Fractional positions:
Ba1 0.333 0.667 0.164
Ba2 0.667 0.333 0.836
Sr1 0.000 0.000 0.500


# 19
The following is a DFT calculation (PBEsol) of a geometry-optimized BaSr3 structure.

Values from the calculation:
- ΔE to the lowest computed polymorph (meV/atom) = 2.6
- uncorrected energy (eV per atom) = -1.92
- theoretical density (g cm⁻³) = 3.16
- V (Å³/cell) = 840.1

abc: 9.395 13.365 6.691
angles: 90.00 90.00 90.00
Fractional positions:
Ba1 0.000 0.126 0.250
Ba2 0.000 0.874 0.750
Ba3 0.500 0.374 0.750
Ba4 0.500 0.626 0.250
Sr1 0.000 0.375 0.750
Sr2 0.000 0.625 0.250
Sr3 0.250 0.125 0.750
Sr4 0.250 0.375 0.250
Sr5 0.250 0.625 0.750
Sr6 0.250 0.875 0.250
Sr7 0.500 0.125 0.250
Sr8 0.500 0.875 0.750
Sr9 0.750 0.125 0.750
Sr10 0.750 0.375 0.250
Sr11 0.750 0.625 0.750
Sr12 0.750 0.875 0.250


# 20
The following is a DFT calculation (PBEsol) of a geometry-optimized BaSr3 structure.

Values from the calculation:
- ΔE to the lowest computed polymorph (meV/atom) = 11.0
- uncorrected energy (eV per atom) = -1.91
- theoretical density (g cm⁻³) = 3.09
- V (Å³/cell) = 1291.0

abc: 8.460 20.805 7.335
angles: 90.00 90.00 90.00
Fractional positions:
Ba1 0.250 0.083 0.167
Ba2 0.250 0.417 0.167
Ba3 0.250 0.750 0.501
Ba4 0.750 0.250 0.499
Ba5 0.750 0.583 0.833
Ba6 0.750 0.917 0.833
Sr1 0.000 0.083 0.667
Sr2 0.000 0.417 0.667
Sr3 0.000 0.583 0.333
Sr4 0.000 0.917 0.333
Sr5 0.001 0.250 0.999
Sr6 0.250 0.250 0.502
Sr7 0.250 0.583 0.833
Sr8 0.250 0.917 0.833
Sr9 0.499 0.250 0.999
Sr10 0.500 0.083 0.667
Sr11 0.500 0.417 0.667
Sr12 0.500 0.583 0.333
Sr13 0.500 0.917 0.333
Sr14 0.501 0.750 0.001
Sr15 0.750 0.083 0.167
Sr16 0.750 0.417 0.167
Sr17 0.750 0.750 0.498
Sr18 0.999 0.750 0.001